BeHgTe2 | Alexandria via LeMat-Bulk | SCAN | single point on PBEsol structure; relative energy among the computed polymorphs = 0 meV/atom; raw formation energy = -0.287 eV per atom; V = 27.4 Å³/atom; space-group type = I-42d (122)
1.0
-1.106 -4.928 -3.411
5.488 -2.227 1.439
-4.525 0.855 5.676
Be Te Hg
2 4 2
direct
0.750 0.250 0.500
0.500 0.500 0.000
0.823 0.375 0.250
0.427 0.875 0.250
0.625 0.573 0.750
0.125 0.177 0.750
0.250 0.750 0.500
0.000 0.000 0.000